The following is a DFT calculation (PBE) of a relaxed SrRePd3 crystal.

Cell and atoms, written as POSCAR:
```
SrRePd3
1.0
4.9121 0.0000 0.0000
0.0000 4.9121 0.0000
0.0000 0.0000 4.9121
Sr Re Pd
1 1 3
Cartesian
0.0000 0.0000 0.0000
2.4560 2.4560 2.4560
0.0000 2.4560 2.4560
2.4560 0.0000 2.4560
2.4560 2.4560 0.0000
```

Values from the calculation:
As for the total energy: -5.520 eV per atom. Its space group is Pm-3m. The energy relative to the lowest polymorph listed for this composition is 0.0 meV/atom. Its formation energy is 2.1 eV per formula unit. For the density of states at the Fermi level, the calculation gives 4.752 states/eV per cell.